No. 1
{
  "formula": "TaGePd2",
  "functional": "PBE",
  "state": "optimized geometry",
  "lattice_angstrom": [[0.4320, 1.3971, 4.2347], [-2.0184, 3.7715, 1.3315], [-3.4984, -0.1970, 2.7918]],
  "species": ["Pd", "Pd", "Ta", "Ge"],
  "frac_coords": [[0.0000, 0.0000, 0.0000], [0.7500, 0.7500, 0.7500], [0.2500, 0.2500, 0.2500], [0.5000, 0.5000, 0.5000]]
}

***

No. 2
{
  "formula": "TbGe3Pd4",
  "functional": "PBE",
  "state": "optimized geometry",
  "lattice_angstrom": [[5.4669, 0.0000, 0.0000], [0.0000, 4.3164, 0.0000], [-0.5499, 0.0000, 6.0275]],
  "species": ["Ge", "Ge", "Ge", "Pd", "Pd", "Pd", "Pd", "Tb"],
  "frac_coords": [[0.3846, 0.0000, 0.3568], [0.1162, 0.0000, 0.8213], [0.8470, 0.5000, 0.1763], [0.6242, 0.0000, 0.0111], [0.1959, 0.5000, 0.5010], [0.2740, 0.5000, 0.0124], [0.8735, 0.0000, 0.4334], [0.6847, 0.5000, 0.6877]]
}

***

No. 3
{
  "formula": "Tb6GePd2",
  "functional": "PBE",
  "state": "optimized geometry",
  "lattice_angstrom": [[-3.4545, 0.8607, -7.0079], [0.8893, -7.1731, 3.0889], [-3.8709, 0.3609, 1.9525]],
  "species": ["Pd", "Pd", "Tb", "Tb", "Tb", "Tb", "Tb", "Tb", "Ge"],
  "frac_coords": [[0.3333, 0.6667, 0.5000], [0.6667, 0.3333, 0.5000], [0.2657, 0.2657, 0.5000], [0.0000, 0.3976, 0.0000], [0.7343, 0.0000, 0.5000], [0.3976, 0.0000, 0.0000], [0.0000, 0.7343, 0.5000], [0.6024, 0.6024, 0.0000], [0.0000, 0.0000, 0.0000]]
}

***

No. 4
{
  "formula": "TbGe4Pd6",
  "functional": "PBE",
  "state": "optimized geometry",
  "lattice_angstrom": [[-0.9890, 7.2199, 1.1824], [-1.8248, -2.9578, -6.5134], [-3.6085, -0.7129, 1.3347]],
  "species": ["Ge", "Ge", "Ge", "Ge", "Pd", "Pd", "Pd", "Pd", "Pd", "Pd", "Tb"],
  "frac_coords": [[0.3797, 0.1899, 0.5000], [0.3333, 0.6667, 0.0000], [0.8101, 0.6203, 0.5000], [0.8101, 0.1899, 0.5000], [0.5354, 0.0707, 0.0000], [0.6033, 0.8016, 0.5000], [0.9293, 0.4646, 0.0000], [0.1984, 0.8016, 0.5000], [0.1984, 0.3967, 0.5000], [0.5354, 0.4646, 0.0000], [0.0000, 0.0000, 0.0000]]
}

***

No. 5
{
  "formula": "Tb2TmGe4Pd4",
  "functional": "PBE",
  "state": "optimized geometry",
  "lattice_angstrom": [[-2.0982, 3.5432, 7.0070], [2.0982, -3.5432, 7.0070], [2.0982, 3.5432, -7.0070]],
  "species": ["Ge", "Ge", "Ge", "Ge", "Pd", "Pd", "Pd", "Pd", "Tm", "Tb", "Tb"],
  "frac_coords": [[0.3102, 0.5000, 0.8102], [0.2170, 0.2170, 0.0000], [0.6898, 0.5000, 0.1898], [0.7830, 0.7830, 0.0000], [0.9745, 0.6751, 0.2994], [0.0255, 0.3249, 0.7006], [0.3757, 0.6751, 0.7006], [0.6243, 0.3249, 0.2994], [0.0000, 0.0000, 0.0000], [0.6261, 0.1261, 0.5000], [0.3739, 0.8739, 0.5000]]
}

***

No. 6
{
  "formula": "TbY2Ge4Pd4",
  "functional": "PBE",
  "state": "optimized geometry",
  "lattice_angstrom": [[7.8766, -1.7856, 0.9453], [3.6599, 1.9225, 7.0022], [-5.6412, -4.1946, -4.0871]],
  "species": ["Y", "Y", "Pd", "Pd", "Pd", "Pd", "Tb", "Ge", "Ge", "Ge", "Ge"],
  "frac_coords": [[0.3741, 0.8741, 0.5000], [0.6259, 0.1259, 0.5000], [0.9747, 0.6750, 0.2996], [0.3754, 0.6750, 0.7004], [0.0253, 0.3250, 0.7004], [0.6246, 0.3250, 0.2996], [0.0000, 0.0000, 0.0000], [0.3120, 0.5000, 0.8120], [0.6880, 0.5000, 0.1880], [0.2182, 0.2182, 0.0000], [0.7818, 0.7818, 0.0000]]
}

***

No. 7
{
  "formula": "TbYGe2Pd",
  "functional": "PBE",
  "state": "optimized geometry",
  "lattice_angstrom": [[-1.1160, 2.4936, 5.0471], [-4.5656, 0.3550, 3.4592], [5.2799, -8.9081, 0.5273]],
  "species": ["Ge", "Ge", "Ge", "Ge", "Tb", "Tb", "Pd", "Pd", "Y", "Y"],
  "frac_coords": [[0.6391, 0.6391, 0.5670], [0.3609, 0.3609, 0.4330], [0.4743, 0.4743, 0.1147], [0.5257, 0.5257, 0.8853], [0.0102, 0.0102, 0.3292], [0.9898, 0.9898, 0.6708], [0.7240, 0.7240, 0.3478], [0.2760, 0.2760, 0.6522], [0.8146, 0.8146, 0.8922], [0.1854, 0.1854, 0.1078]]
}

***

No. 8
{
  "formula": "Tb2YGe4Pd4",
  "functional": "PBE",
  "state": "optimized geometry",
  "lattice_angstrom": [[2.3223, -6.5167, -4.3047], [7.4369, -3.1003, 1.2132], [-7.4398, 1.8120, 2.7851]],
  "species": ["Tb", "Tb", "Pd", "Pd", "Pd", "Pd", "Ge", "Ge", "Ge", "Ge", "Y"],
  "frac_coords": [[0.6260, 0.1260, 0.5000], [0.3740, 0.8740, 0.5000], [0.0253, 0.3249, 0.7004], [0.3756, 0.6751, 0.7004], [0.6244, 0.3249, 0.2995], [0.9747, 0.6751, 0.2995], [0.3119, 0.5000, 0.8119], [0.7819, 0.7819, 0.0000], [0.6881, 0.5000, 0.1881], [0.2181, 0.2181, 0.0000], [0.0000, 0.0000, 0.0000]]
}

***

No. 9
{
  "formula": "TcGe2Pd",
  "functional": "PBE",
  "state": "optimized geometry",
  "lattice_angstrom": [[0.0000, 3.1586, 3.1586], [3.1586, 0.0000, 3.1586], [3.1586, 3.1586, 0.0000]],
  "species": ["Ge", "Ge", "Pd", "Tc"],
  "frac_coords": [[0.0000, 0.0000, 0.0000], [0.7500, 0.7500, 0.7500], [0.5000, 0.5000, 0.5000], [0.2500, 0.2500, 0.2500]]
}

***

No. 10
{
  "formula": "TlGePd",
  "functional": "PBE",
  "state": "optimized geometry",
  "lattice_angstrom": [[0.0000, 3.2026, 3.2026], [3.2026, 0.0000, 3.2026], [3.2026, 3.2026, 0.0000]],
  "species": ["Tl", "Pd", "Ge"],
  "frac_coords": [[0.7500, 0.7500, 0.7500], [0.0000, 0.0000, 0.0000], [0.2500, 0.2500, 0.2500]],
  "de_polymorph_mev_per_atom": 0.0
}

***

No. 11
{
  "formula": "TmGePd",
  "functional": "PBE",
  "state": "optimized geometry",
  "lattice_angstrom": [[4.3728, 0.0000, 0.0000], [0.0000, 0.0000, 7.5996], [-2.1864, -10.3702, -3.7998]],
  "species": ["Pd", "Pd", "Pd", "Pd", "Pd", "Pd", "Tm", "Tm", "Tm", "Tm", "Tm", "Tm", "Ge", "Ge", "Ge", "Ge", "Ge", "Ge"],
  "frac_coords": [[0.5726, 0.7496, 0.1452], [0.8954, 0.0683, 0.7908], [0.2675, 0.1003, 0.5350], [0.4274, 0.6045, 0.8548], [0.1046, 0.2775, 0.2092], [0.7325, 0.5653, 0.4650], [0.1669, 0.7094, 0.3338], [0.3330, 0.7981, 0.6660], [0.8331, 0.3756, 0.6662], [0.5000, 0.0489, 0.0000], [0.6670, 0.1321, 0.3340], [0.0000, 0.4656, 0.0000], [0.4071, 0.2523, 0.8141], [0.0653, 0.9130, 0.1307], [0.9347, 0.7823, 0.8693], [0.2363, 0.3978, 0.4726], [0.5929, 0.4382, 0.1859], [0.7637, 0.9252, 0.5274]]
}

***

No. 12
{
  "formula": "Tm6GePd2",
  "functional": "PBE",
  "state": "optimized geometry",
  "lattice_angstrom": [[7.7438, 0.0000, 0.0000], [-3.8719, 6.7063, 0.0000], [0.0000, 0.0000, 4.2495]],
  "species": ["Tm", "Tm", "Tm", "Tm", "Tm", "Tm", "Pd", "Pd", "Ge"],
  "frac_coords": [[0.5997, 0.5997, 0.0000], [0.4003, 0.0000, 0.0000], [0.7361, 0.0000, 0.5000], [0.2639, 0.2639, 0.5000], [0.0000, 0.4003, 0.0000], [0.0000, 0.7361, 0.5000], [0.6667, 0.3333, 0.5000], [0.3333, 0.6667, 0.5000], [0.0000, 0.0000, 0.0000]]
}

***

| no. | final energy (eV/atom) |
| --- | --- |
| 1 | -6.97 |
| 2 | -5.47 |
| 3 | -5.29 |
| 4 | -5.61 |
| 5 | -5.70 |
| 6 | -6.08 |
| 7 | -6.04 |
| 8 | -5.90 |
| 9 | -5.95 |
| 10 | -4.13 |
| 11 | -5.74 |
| 12 | -5.23 |